No. 1
Density functional theory data (GGA-PBE) for a relaxed structure of La4Sn3Pb.

Summary:
calculated formation energy = -756 meV per atom
total moment = 0.00 Bohr magnetons per cell
E_tot = -0.191 Ha/atom
mass density = 7.13 g/cm3

a b c (Å): 4.4781 4.8345 12.0341
angles (deg): 90.00 90.00 90.00
Fractional coordinates of all 8 atoms:
La 0.0000 0.0000 0.0000
La 0.0000 0.5000 0.4951
La 0.5000 0.0000 0.7266
La 0.5000 0.5000 0.2275
Sn 0.0000 0.0000 0.2759
Sn 0.5000 0.0000 0.4503
Sn 0.5000 0.5000 0.9528
Pb 0.0000 0.5000 0.7723

No. 2
Density functional theory data (GGA-PBE) for a relaxed structure of LiErHfPt.

Summary:
calculated formation energy = -513 meV per atom
total moment = 0.00 Bohr magnetons per cell
E_tot = -0.225 Ha/atom
mass density = 11.68 g/cm3

a b c (Å): 4.7938 4.7938 4.7938
angles (deg): 60.00 60.00 60.00
Fractional coordinates of all 4 atoms:
Li 0.0000 0.0000 0.0000
Er 0.7500 0.7500 0.7500
Hf 0.2500 0.2500 0.2500
Pt 0.5000 0.5000 0.5000

No. 3
Density functional theory data (GGA-PBE) for a relaxed structure of TlHgCl2.

Summary:
formation energy (no corrections) = -0.55 eV/atom
total moment = 0.00 Bohr magnetons per cell
E_tot = -0.079 Ha/atom
mass density = 6.45 g/cm3

a b c (Å): 7.1437 7.1437 7.1437
angles (deg): 37.73 37.73 37.73
Fractional coordinates of all 4 atoms:
Tl 0.0000 0.0000 0.0000
Hg 0.5000 0.5000 0.5000
Cl 0.2430 0.2430 0.2430
Cl 0.7570 0.7570 0.7570